1.
A plane-wave DFT calculation with PBE was carried out for crystalline TbTlInS3 at its relaxed geometry.

a b c (Å): 7.612 7.612 10.995
angles (deg): 90.00 90.00 149.21
Positions (direct):
1 Tl 0.304 0.696 0.250
2 S 0.372 0.628 0.508
3 S 0.628 0.372 0.492
4 Tb 0.000 0.000 0.500
5 In 0.622 0.378 0.250
6 S 0.999 0.001 0.750
7 In 0.378 0.622 0.750
8 Tb 0.000 0.000 0.000
9 S 0.001 0.999 0.250
10 S 0.372 0.628 0.992
11 Tl 0.696 0.304 0.750
12 S 0.628 0.372 0.008

Output
ρ: 5.849 g/cm3
Raw total energy: -4.7065 eV per atom

***

2.
A plane-wave DFT calculation with PBE was carried out for crystalline CsThW at its relaxed geometry.

a b c (Å): 5.121 5.121 5.121
angles (deg): 60.00 60.00 60.00
Positions (direct):
1 Th 0.500 0.500 0.500
2 W 0.250 0.250 0.250
3 Cs 0.000 0.000 0.000

Output
ρ: 9.595 g/cm3
Raw total energy: -5.2323 eV per atom

***

3.
A plane-wave DFT calculation with PBE was carried out for crystalline NbTe2O4 at its relaxed geometry.

a b c (Å): 7.006 7.006 7.006
angles (deg): 120.01 89.98 120.01
Positions (direct):
1 Te 0.875 0.250 0.625
2 Nb 0.750 0.500 0.250
3 O 0.641 0.281 0.921
4 Te 0.375 0.750 0.625
5 O 0.640 0.281 0.359
6 Te 0.375 0.250 0.625
7 Te 0.375 0.750 0.125
8 Nb 0.000 0.000 0.000
9 O 0.641 0.719 0.360
10 O 0.109 0.219 0.329
11 O 0.079 0.719 0.359
12 O 0.110 0.219 0.891
13 O 0.109 0.781 0.890
14 O 0.671 0.781 0.891

Output
ρ: 5.630 g/cm3
Raw total energy: -6.0402 eV per atom

***

4.
A plane-wave DFT calculation with PBE was carried out for crystalline PuZnTe at its relaxed geometry.

a b c (Å): 5.045 5.045 5.045
angles (deg): 60.00 60.00 60.00
Positions (direct):
1 Te 0.750 0.750 0.750
2 Zn 0.250 0.250 0.250
3 Pu 0.000 0.000 0.000

Output
ρ: 7.992 g/cm3
Raw total energy: -6.5783 eV per atom